Entry 1:
The following is a DFT calculation (PBE-GGA) of a relaxed structure of Ca2PrHg7.

abc: 5.1486 5.1486 12.1147
angles: 90.00 90.00 120.00
Closest atoms and distances in Å follow each position.
Sites, in units of the cell vectors:
1 Ca 0.0000 0.0000 0.0000  8 Hg 3.03-3.25
2 Ca 0.3333 0.6667 0.6138  10 Hg 3.14-3.40
3 Pr 0.6667 0.3333 0.3855  10 Hg 3.24-3.43
4 Hg 0.0000 0.0000 0.2516  4 Hg 2.99-3.03, 1 Ca 3.05
5 Hg 0.0000 0.0000 0.5018  2 Hg 3.01-3.03, 3 Ca 3.27, 3 Pr 3.29
6 Hg 0.0000 0.0000 0.7499  4 Hg 3.01-3.04, 1 Ca 3.03
7 Hg 0.3333 0.6667 0.2793  3 Hg 2.99, 3 Pr 3.24
8 Hg 0.3333 0.6667 0.8921  4 Ca 3.25-3.37, 3 Hg 3.44
9 Hg 0.6667 0.3333 0.1025  3 Ca 3.22, 1 Pr 3.43, 3 Hg 3.48
10 Hg 0.6667 0.3333 0.6979  3 Hg 3.04, 3 Ca 3.14

energy above the lowest structure with this stoichiometry	0.0000	eV per atom
calculated density	9.70	g cm⁻³
magnetization	0.00	μB/f.u.
energy of formation	-0.33	eV per atom
final energy	-1.421	eV/atom
space-group type	P3m1, No. 156

=====

Entry 2:
The following is a DFT calculation (PBE-GGA) of a relaxed structure of Li2Ac3HfS6.

abc: 6.8812 6.8812 7.5063
angles: 90.00 90.00 120.00
Closest atoms and distances in Å follow each position.
Sites, in units of the cell vectors:
1 Li 0.3333 0.6667 0.1210  3 S 2.37
2 Li 0.6667 0.3333 0.8790  3 S 2.37
3 Ac 0.0000 0.0000 0.0000  6 S 3.03
4 Ac 0.3333 0.6667 0.6049  3 S 3.00
5 Ac 0.6667 0.3333 0.3951  3 S 3.00
6 Hf 0.0000 0.0000 0.5000  6 S 2.52
7 S 0.1699 0.3398 0.3005  1 Li 2.37, 1 Hf 2.52
8 S 0.1699 0.8301 0.3005  1 Li 2.37, 1 Hf 2.52
9 S 0.3398 0.1699 0.6995  1 Li 2.37, 1 Hf 2.52
10 S 0.6602 0.8301 0.3005  1 Li 2.37, 1 Hf 2.52
11 S 0.8301 0.1699 0.6995  1 Li 2.37, 1 Hf 2.52
12 S 0.8301 0.6602 0.6995  1 Li 2.37, 1 Hf 2.52

calculated density	5.75	g cm⁻³
magnetization	1.13	μB/f.u.
formation energy without anion corrections	-1.5576	eV/atom
final energy	-5.797	eV/atom
space-group type	P-3m1, No. 164

=====

Entry 3:
The following is a DFT calculation (PBE-GGA) of a relaxed structure of TaAg2Sb.

abc: 3.0795 3.0795 29.4090
angles: 90.00 90.00 120.00
Closest atoms and distances in Å follow each position.
Sites, in units of the cell vectors:
1 Ta 0.0000 0.0000 0.0000  3 Ag 2.93, 3 Sb 2.95, 6 Ta 3.08
2 Ta 0.3333 0.6667 0.6667  3 Ag 2.93, 3 Sb 2.95, 6 Ta 3.08
3 Ta 0.6667 0.3333 0.3333  3 Ag 2.93, 3 Sb 2.95, 6 Ta 3.08
4 Ag 0.0000 0.0000 0.2540  9 Ag 2.93-3.08, 3 Ta 2.93
5 Ag 0.0000 0.0000 0.5083  9 Ag 2.93-3.08
6 Ag 0.3333 0.6667 0.1750  9 Ag 2.93-3.08
7 Ag 0.3333 0.6667 0.9207  9 Ag 2.93-3.08, 3 Ta 2.93
8 Ag 0.6667 0.3333 0.5873  9 Ag 2.93-3.08, 3 Ta 2.93
9 Ag 0.6667 0.3333 0.8416  9 Ag 2.93-3.08
10 Sb 0.0000 0.0000 0.7468  3 Ta 2.95, 6 Sb 3.08
11 Sb 0.3333 0.6667 0.4135  3 Ta 2.95, 6 Sb 3.08
12 Sb 0.6667 0.3333 0.0801  3 Ta 2.95, 6 Sb 3.08

calculated density	10.69	g cm⁻³
magnetization	0.00	μB/f.u.
formation energy without anion corrections	0.2492	eV/atom
final energy	-5.170	eV/atom
space-group type	R3m, No. 160

=====

Entry 4:
The following is a DFT calculation (PBE-GGA) of a relaxed structure of BeAg2Hg.

abc: 10.3893 3.0453 4.5794
angles: 90.00 114.00 90.00
Closest atoms and distances in Å follow each position.
Sites, in units of the cell vectors:
1 Be 0.0000 0.0000 0.0000  4 Ag 2.49, 4 Hg 2.75
2 Be 0.5000 0.5000 0.0000  4 Ag 2.49, 4 Hg 2.75
3 Ag 0.2071 0.5000 0.2082  2 Be 2.49
4 Ag 0.2929 0.0000 0.7918  2 Be 2.49
5 Ag 0.7071 0.0000 0.2082  2 Be 2.49
6 Ag 0.7929 0.5000 0.7918  2 Be 2.49
7 Hg 0.0000 0.5000 0.5000  4 Be 2.75, 4 Ag 2.96-3.08, 2 Hg 3.05
8 Hg 0.5000 0.0000 0.5000  4 Be 2.75, 4 Ag 2.96-3.08, 2 Hg 3.05

energy above the lowest structure with this stoichiometry	0.0393	eV per atom
calculated density	10.67	g cm⁻³
magnetization	0.00	μB/f.u.
energy of formation	0.19	eV per atom
final energy	-2.242	eV/atom
space-group type	C2/m, No. 12

=====

Entry 5:
The following is a DFT calculation (PBE-GGA) of a relaxed structure of TlRu2.

abc: 3.9294 3.9294 15.1274
angles: 90.00 90.00 90.00
Closest atoms and distances in Å follow each position.
Sites, in units of the cell vectors:
1 Tl 0.0000 0.2500 0.3750  12 Ru 3.03-3.24
2 Tl 0.0000 0.7500 0.6250  12 Ru 3.03-3.24
3 Tl 0.5000 0.2500 0.1250  12 Ru 3.03-3.24
4 Tl 0.5000 0.7500 0.8750  12 Ru 3.03-3.24
5 Ru 0.0000 0.2500 0.7954  3 Ru 2.40-2.41
6 Ru 0.0000 0.2500 0.9546  3 Ru 2.40-2.41
7 Ru 0.0000 0.7500 0.0454  3 Ru 2.40-2.41
8 Ru 0.0000 0.7500 0.2046  3 Ru 2.40-2.41
9 Ru 0.5000 0.2500 0.5454  3 Ru 2.40-2.41
10 Ru 0.5000 0.2500 0.7046  3 Ru 2.40-2.41
11 Ru 0.5000 0.7500 0.2954  3 Ru 2.40-2.41
12 Ru 0.5000 0.7500 0.4546  3 Ru 2.40-2.41

energy above the lowest structure with this stoichiometry	0.3948	eV per atom
calculated density	11.56	g cm⁻³
magnetization	0.00	μB/f.u.
energy of formation	0.80	eV per atom
final energy	-6.168	eV/atom
space-group type	I4_1/amd, No. 141

=====

Entry 6:
The following is a DFT calculation (PBE-GGA) of a relaxed structure of Ag2SnPt2.

abc: 7.9659 7.9659 2.9436
angles: 90.00 90.00 90.00
Closest atoms and distances in Å follow each position.
Sites, in units of the cell vectors:
1 Ag 0.1235 0.3765 0.0000  6 Pt 2.72-2.82, 3 Ag 2.78-2.94
2 Ag 0.3765 0.8765 0.0000  6 Pt 2.72-2.82, 3 Ag 2.78-2.94
3 Ag 0.6235 0.1235 0.0000  6 Pt 2.72-2.82, 3 Ag 2.78-2.94
4 Ag 0.8765 0.6235 0.0000  6 Pt 2.72-2.82, 3 Ag 2.78-2.94
5 Sn 0.0000 0.0000 0.0000  2 Sn 2.94, 4 Ag 3.16, 8 Pt 3.29
6 Sn 0.5000 0.5000 0.0000  2 Sn 2.94, 4 Ag 3.16, 8 Pt 3.29
7 Pt 0.1737 0.6737 0.5000  6 Ag 2.72-2.82, 2 Pt 2.94
8 Pt 0.3263 0.1737 0.5000  6 Ag 2.72-2.82, 2 Pt 2.94
9 Pt 0.6737 0.8263 0.5000  6 Ag 2.72-2.82, 2 Pt 2.94
10 Pt 0.8263 0.3263 0.5000  6 Ag 2.72-2.82, 2 Pt 2.94

energy above the lowest structure with this stoichiometry	0.1907	eV per atom
calculated density	12.88	g cm⁻³
magnetization	0.00	μB/f.u.
energy of formation	0.10	eV per atom
final energy	-4.262	eV/atom
space-group type	P4/mbm, No. 127

=====

Entry 7:
The following is a DFT calculation (PBE-GGA) of a relaxed structure of DyCoB.

abc: 3.5353 3.5353 7.5165
angles: 90.00 90.00 90.00
Closest atoms and distances in Å follow each position.
Sites, in units of the cell vectors:
1 Dy 0.2500 0.2500 0.1984  4 B 2.81, 4 Co 2.87
2 Dy 0.7500 0.7500 0.8016  4 B 2.81, 4 Co 2.87
3 Co 0.2500 0.7500 0.5000  4 B 2.02
4 Co 0.7500 0.2500 0.5000  4 B 2.02
5 B 0.2500 0.2500 0.6306  4 Co 2.02
6 B 0.7500 0.7500 0.3694  4 Co 2.02

energy above the lowest structure with this stoichiometry	0.0000	eV per atom
calculated density	8.21	g cm⁻³
magnetization	0.00	μB/f.u.
energy of formation	-0.49	eV per atom
final energy	-6.615	eV/atom
space-group type	P4/nmm, No. 129

=====

Entry 8:
The following is a DFT calculation (PBE-GGA) of a relaxed structure of Ba5Au2O2.

abc: 7.6781 7.6781 7.9284
angles: 108.63 108.63 43.04
Closest atoms and distances in Å follow each position.
Sites, in units of the cell vectors:
1 Ba 0.0000 0.0000 0.0000  2 O 2.74
2 Ba 0.1523 0.1523 0.5551  1 O 2.54
3 Ba 0.3396 0.3396 0.1029  3 O 2.60-2.82
4 Ba 0.6604 0.6604 0.8971  3 O 2.60-2.82
5 Ba 0.8477 0.8477 0.4449  1 O 2.54
6 Au 0.4004 0.4004 0.7111  7 Ba 3.33-3.60
7 Au 0.5996 0.5996 0.2889  7 Ba 3.33-3.60
8 O 0.1575 0.1575 0.8782  5 Ba 2.54-2.82
9 O 0.8425 0.8425 0.1218  5 Ba 2.54-2.82

calculated density	6.17	g cm⁻³
magnetization	0.00	μB/f.u.
formation energy without anion corrections	-1.3553	eV/atom
final energy	-4.254	eV/atom
space-group type	C2/m, No. 12